An optimized crystal structure of DyCoAsO, computed with PBE with a Hubbard U.

**E_tot**: -6.157 eV/atom

Unit cell a=4.2548 b=4.1002 c=7.0185 alpha=90.00 beta=90.00 gamma=90.00
With the nearest neighbours (Å) after each atom.
Space group Pmc2_1 (No. 26)
Unique sites:
Dy (0.0000, 0.2414, 0.0000) [2 per cell]  3 O 2.34-2.36
Co (0.5000, 0.2618, 0.3495) [2 per cell]  2 O 2.13, 3 As 2.32-2.38
As (0.5000, 0.2397, 0.6795) [2 per cell]  3 Co 2.32-2.38
O (0.0000, 0.2576, 0.3338) [2 per cell]  2 Co 2.13, 3 Dy 2.34-2.36